a:
Ac6Tl2Ge: relaxed, PBE-GGA.

It has space group P2_1/c (No. 14), with a = 6.887 Å, b = 9.418 Å, c = 12.914 Å, α = 90.00°, β = 122.17° and γ = 90.00°. The asymmetric unit holds Ac at (0.062, 0.182, 0.440), Ac at (0.317, 0.671, 0.441), Ac at (0.386, 0.038, 0.271), Tl at (0.175, 0.121, 0.746) and Ge at (0.000, 0.000, 0.000).

The value obtained for the magnetic moment is 0.000 μB/cell.

=====

b:
Ac6Tl2Ge: relaxed, PBE-GGA.

It has space group Amm2 (No. 38), with a = 4.317 Å, b = 16.405 Å, c = 9.468 Å, α = 90.00°, β = 90.00° and γ = 90.00°. The asymmetric unit holds Ac at (0.000, 0.000, 0.000), Ac at (0.000, 0.126, 0.622), Ac at (0.500, 0.000, 0.349), Ac at (0.500, 0.200, 0.948), Tl at (0.000, 0.167, 0.248) and Ge at (0.500, 0.000, 0.747).

The value obtained for the magnetic moment is 0.001 μB/cell.

=====

Each structure's energy above the most stable one, in kJ/mol of atoms: a 4.2; b 0.0.